Entry i
The following is a GGA-PBE calculation of a relaxed structure of MnTcPt2, from Alexandria.

The value obtained for the density of states at the Fermi level is 16.550 states/eV per cell. The size of the total moment is 3.17 μB per formula unit. Its crystal system is trigonal.

It has space group R-3m (No. 166, hexagonal axes), with a = 2.7829 Å, b = 2.7829 Å, c = 26.6544 Å, α = 90.00°, β = 90.00° and γ = 120.00°. Symmetry generates all atoms from Mn at (0.0000, 0.0000, 0.0000), Tc at (0.0000, 0.0000, 0.5000) and Pt at (0.0000, 0.0000, 0.2513).



Entry ii
The following is a GGA-PBE calculation of a relaxed structure of MnTcPt2, from Alexandria.

The value obtained for the density of states at the Fermi level is 6.433 states/eV per cell. The size of the total moment is 3.05 μB per formula unit. Its crystal system is monoclinic.

It has space group C2/m (No. 12), with a = 9.125 Å, b = 2.784 Å, c = 4.734 Å, α = 90.00°, β = 100.30° and γ = 90.00°. Symmetry generates all atoms from Mn at (0.000, 0.000, 0.000), Tc at (0.000, 0.500, 0.500) and Pt at (0.249, 0.500, 0.252).



Stability comparison, relative energies in meV/atom: entry i 26; entry ii 0



Entry i
The following is a GGA-PBE calculation of a relaxed structure of MnTcPt2, from Alexandria.

The value obtained for the density of states at the Fermi level is 19.665 states/eV per cell. The size of the total moment is 2.91 μB per formula unit. Its crystal system is cubic.

It has space group F-43m (No. 216), with a = 6.216 Å, b = 6.216 Å, c = 6.216 Å, α = 90.00°, β = 90.00° and γ = 90.00°. Symmetry generates all atoms from Mn at (0.000, 0.000, 0.000), Tc at (0.250, 0.250, 0.250), Pt at (0.000, 0.000, 0.500) and Pt at (0.250, 0.250, 0.750).



Entry ii
The following is a GGA-PBE calculation of a relaxed structure of MnTcPt2, from Alexandria.

The value obtained for the density of states at the Fermi level is 2.603 states/eV per cell. The size of the total moment is 2.87 μB per formula unit. Its crystal system is tetragonal.

It has space group P4mm (No. 99), with a = 2.734 Å, b = 2.734 Å, c = 7.853 Å, α = 90.00°, β = 90.00° and γ = 90.00°. Symmetry generates all atoms from Mn at (0.000, 0.000, 0.000), Tc at (0.500, 0.500, 0.765), Pt at (0.000, 0.000, 0.515) and Pt at (0.500, 0.500, 0.239).



Entry iii
The following is a GGA-PBE calculation of a relaxed structure of MnTcPt2, from Alexandria.

The value obtained for the density of states at the Fermi level is 36.679 states/eV per cell. The size of the total moment is 0.56 μB per formula unit. Its crystal system is cubic.

It has space group Fm-3m (No. 225), with a = 6.163 Å, b = 6.163 Å, c = 6.163 Å, α = 90.00°, β = 90.00° and γ = 90.00°. Symmetry generates all atoms from Mn at (0.000, 0.000, 0.000), Tc at (0.000, 0.000, 0.500) and Pt at (0.250, 0.250, 0.250).



Entry iv
The following is a GGA-PBE calculation of a relaxed structure of MnTcPt2, from Alexandria.

The value obtained for the density of states at the Fermi level is 4.546 states/eV per cell. The size of the total moment is 3.43 μB per formula unit. Its crystal system is monoclinic.

It has space group Cm (No. 8), with a = 9.103 Å, b = 2.747 Å, c = 4.813 Å, α = 90.00°, β = 100.17° and γ = 90.00°. Symmetry generates all atoms from Mn at (0.000, 0.000, 0.000), Tc at (0.256, 0.000, 0.733), Pt at (0.006, 0.500, 0.514) and Pt at (0.248, 0.500, 0.227).



Stability comparison, relative energies in meV/atom: entry i 240; entry ii 50; entry iii 565; entry iv 0



Entry i
The following is a GGA-PBE calculation of a relaxed structure of MnTcPt2, from Alexandria.

The value obtained for the density of states at the Fermi level is 5.448 states/eV per cell. The size of the total moment is 2.47 μB per formula unit. Its crystal system is tetragonal.

It has space group I4/mmm (No. 139), with a = 3.842 Å, b = 3.842 Å, c = 7.916 Å, α = 90.00°, β = 90.00° and γ = 90.00°. Symmetry generates all atoms from Mn at (0.000, 0.000, 0.000), Tc at (0.000, 0.000, 0.500) and Pt at (0.000, 0.500, 0.250).



Entry ii
The following is a GGA-PBE calculation of a relaxed structure of MnTcPt2, from Alexandria.

The value obtained for the density of states at the Fermi level is 6.925 states/eV per cell. The size of the total moment is 3.37 μB per formula unit. Its crystal system is orthorhombic.

It has space group Cmmm (No. 65), with a = 5.472 Å, b = 7.884 Å, c = 2.743 Å, α = 90.00°, β = 90.00° and γ = 90.00°. Symmetry generates all atoms from Mn at (0.000, 0.000, 0.000), Tc at (0.000, 0.500, 0.000) and Pt at (0.250, 0.250, 0.500).



Entry iii
The following is a GGA-PBE calculation of a relaxed structure of MnTcPt2, from Alexandria.

The value obtained for the density of states at the Fermi level is 4.034 states/eV per cell. The size of the total moment is 2.41 μB per formula unit. Its crystal system is orthorhombic.

It has space group Pmm2 (No. 25), with a = 2.750 Å, b = 3.854 Å, c = 5.547 Å, α = 90.00°, β = 90.00° and γ = 90.00°. Symmetry generates all atoms from Mn at (0.000, 0.000, 0.000), Tc at (0.500, 0.500, 0.756), Pt at (0.000, 0.000, 0.516) and Pt at (0.500, 0.500, 0.239).



Entry iv
The following is a GGA-PBE calculation of a relaxed structure of MnTcPt2, from Alexandria.

The value obtained for the density of states at the Fermi level is 13.570 states/eV per cell. The size of the total moment is 2.04 μB per formula unit. Its crystal system is trigonal.

It has space group R3m (No. 160, hexagonal axes), with a = 2.7488 Å, b = 2.7488 Å, c = 26.7922 Å, α = 90.00°, β = 90.00° and γ = 120.00°. Symmetry generates all atoms from Mn at (0.0000, 0.0000, 0.0000), Tc at (0.0000, 0.0000, 0.2573), Pt at (0.0000, 0.0000, 0.5048) and Pt at (0.0000, 0.0000, 0.7464).



Stability comparison, relative energies in meV/atom: entry i 0; entry ii 16; entry iii 83; entry iv 147



Entry i
The following is a GGA-PBE calculation of a relaxed structure of MnTcPt2, from Alexandria.

The value obtained for the density of states at the Fermi level is 8.159 states/eV per cell. The size of the total moment is 2.07 μB per formula unit. Its crystal system is tetragonal.

It has space group I-4m2 (No. 119), with a = 3.881 Å, b = 3.881 Å, c = 7.785 Å, α = 90.00°, β = 90.00° and γ = 90.00°. Symmetry generates all atoms from Mn at (0.000, 0.000, 0.000), Tc at (0.000, 0.500, 0.250), Pt at (0.000, 0.000, 0.500) and Pt at (0.000, 0.500, 0.750).



Entry ii
The following is a GGA-PBE calculation of a relaxed structure of MnTcPt2, from Alexandria.

The value obtained for the density of states at the Fermi level is 3.392 states/eV per cell. The size of the total moment is 3.89 μB per formula unit. Its crystal system is tetragonal.

It has space group P4/mmm (No. 123), with a = 2.769 Å, b = 2.769 Å, c = 7.779 Å, α = 90.00°, β = 90.00° and γ = 90.00°. Symmetry generates all atoms from Mn at (0.000, 0.000, 0.000), Tc at (0.000, 0.000, 0.500) and Pt at (0.500, 0.500, 0.250).



Stability comparison, relative energies in meV/atom: entry i 46; entry ii 0



Entry i
The following is a GGA-PBE calculation of a relaxed structure of MnTcPt2, from Alexandria.

The value obtained for the density of states at the Fermi level is 12.268 states/eV per cell. The size of the total moment is 0.00 μB per formula unit. Its crystal system is tetragonal.

It has space group I-42d (No. 122), with a = 5.436 Å, b = 5.436 Å, c = 11.167 Å, α = 90.00°, β = 90.00° and γ = 90.00°. Symmetry generates all atoms from Mn at (0.000, 0.000, 0.000), Tc at (0.000, 0.000, 0.500) and Pt at (0.232, 0.250, 0.125).



Entry ii
The following is a GGA-PBE calculation of a relaxed structure of MnTcPt2, from Alexandria.

The value obtained for the density of states at the Fermi level is 4.556 states/eV per cell. The size of the total moment is 1.78 μB per formula unit. Its crystal system is tetragonal.

It has space group P4/mmm (No. 123), with a = 3.871 Å, b = 3.871 Å, c = 3.932 Å, α = 90.00°, β = 90.00° and γ = 90.00°. Symmetry generates all atoms from Mn at (0.000, 0.000, 0.000), Tc at (0.500, 0.500, 0.000) and Pt at (0.000, 0.500, 0.500).



Stability comparison, relative energies in meV/atom: entry i 1112; entry ii 0